# 1
{"formula": "PrZnCd11", "functional": "GGA-PBE", "state": "relaxed", "e_form_ev_per_atom": -0.124, "sg": "No. 12", "cell": [[2.969, -7.005, 0.000], [2.969, 7.005, 0.000], [-2.888, 0.000, 6.999]], "species": ["Pr", "Zn", "Cd", "Cd", "Cd", "Cd", "Cd", "Cd", "Cd", "Cd", "Cd", "Cd", "Cd"], "fractional_positions": [[0.000, 0.000, 0.000], [0.500, 0.500, 0.500], [0.000, 0.000, 0.500], [0.000, 0.500, 0.000], [0.010, 0.357, 0.354], [0.294, 0.506, 0.782], [0.357, 0.010, 0.354], [0.494, 0.706, 0.218], [0.500, 0.000, 0.000], [0.506, 0.294, 0.782], [0.643, 0.990, 0.646], [0.706, 0.494, 0.218], [0.990, 0.643, 0.646]]}


# 2
{"formula": "PrZn9Cd2", "functional": "GGA-PBE", "state": "relaxed", "e_form_ev_per_atom": -0.124, "sg": "No. 166", "cell": [[2.693, 1.555, 8.415], [-2.693, 1.555, 8.415], [0.000, -3.109, 8.415]], "species": ["Pr", "Zn", "Zn", "Zn", "Zn", "Zn", "Zn", "Zn", "Zn", "Zn", "Cd", "Cd"], "fractional_positions": [[0.000, 0.000, 0.000], [0.082, 0.587, 0.587], [0.333, 0.333, 0.333], [0.413, 0.413, 0.918], [0.413, 0.918, 0.413], [0.500, 0.500, 0.500], [0.587, 0.082, 0.587], [0.587, 0.587, 0.082], [0.667, 0.667, 0.667], [0.918, 0.413, 0.413], [0.139, 0.139, 0.139], [0.861, 0.861, 0.861]]}


# 3
{"formula": "Pr5Zn4Cd", "functional": "GGA-PBE", "state": "relaxed", "e_form_ev_per_atom": -0.305, "sg": "No. 123", "cell": [[3.731, 0.000, 0.000], [0.000, 3.731, 0.000], [0.000, 0.000, 18.908]], "species": ["Pr", "Pr", "Pr", "Pr", "Pr", "Zn", "Zn", "Zn", "Zn", "Cd"], "fractional_positions": [[0.000, 0.000, 0.000], [0.000, 0.000, 0.196], [0.000, 0.000, 0.388], [0.000, 0.000, 0.612], [0.000, 0.000, 0.804], [0.500, 0.500, 0.098], [0.500, 0.500, 0.293], [0.500, 0.500, 0.707], [0.500, 0.500, 0.902], [0.500, 0.500, 0.500]]}


# 4
{"formula": "PrZn4Cd4", "functional": "GGA-PBE", "state": "relaxed", "e_form_ev_per_atom": -0.065, "sg": "No. 87", "cell": [[-4.524, 4.524, 2.363], [4.524, -4.524, 2.363], [4.524, 4.524, -2.363]], "species": ["Pr", "Zn", "Zn", "Zn", "Zn", "Cd", "Cd", "Cd", "Cd"], "fractional_positions": [[0.000, 0.000, 0.000], [0.299, 0.391, 0.690], [0.391, 0.701, 0.091], [0.609, 0.299, 0.909], [0.701, 0.609, 0.310], [0.092, 0.637, 0.729], [0.363, 0.092, 0.455], [0.637, 0.908, 0.545], [0.908, 0.363, 0.271]]}


# 5
{"formula": "Pr6Zn5Cd", "functional": "GGA-PBE", "state": "relaxed", "e_form_ev_per_atom": -0.298, "sg": "No. 65", "cell": [[2.640, -7.941, 0.000], [2.640, 7.941, 0.000], [0.000, 0.000, 7.507]], "species": ["Pr", "Pr", "Pr", "Pr", "Pr", "Pr", "Zn", "Zn", "Zn", "Zn", "Zn", "Cd"], "fractional_positions": [[0.000, 0.000, 0.240], [0.000, 0.000, 0.760], [0.330, 0.670, 0.244], [0.330, 0.670, 0.756], [0.670, 0.330, 0.244], [0.670, 0.330, 0.756], [0.164, 0.836, 0.500], [0.166, 0.834, 0.000], [0.500, 0.500, 0.000], [0.834, 0.166, 0.000], [0.836, 0.164, 0.500], [0.500, 0.500, 0.500]]}


# 6
{"formula": "PrZn3Cd9", "functional": "GGA-PBE", "state": "relaxed", "e_form_ev_per_atom": -0.129, "sg": "No. 12", "cell": [[2.893, -6.894, 0.000], [2.893, 6.894, 0.000], [-2.824, 0.000, 6.892]], "species": ["Pr", "Zn", "Zn", "Zn", "Cd", "Cd", "Cd", "Cd", "Cd", "Cd", "Cd", "Cd", "Cd"], "fractional_positions": [[0.000, 0.000, 0.000], [0.000, 0.500, 0.000], [0.500, 0.000, 0.000], [0.500, 0.500, 0.500], [0.000, 0.000, 0.500], [0.000, 0.352, 0.344], [0.000, 0.648, 0.656], [0.291, 0.511, 0.786], [0.352, 0.000, 0.344], [0.489, 0.709, 0.214], [0.511, 0.291, 0.786], [0.648, 0.000, 0.656], [0.709, 0.489, 0.214]]}


# 7
{"formula": "Pr4Zn3Cd2", "functional": "GGA-PBE", "state": "relaxed", "e_form_ev_per_atom": -0.260, "sg": "No. 12", "cell": [[5.203, -2.541, 0.000], [5.203, 2.541, 0.000], [-2.714, 0.000, 8.822]], "species": ["Pr", "Pr", "Pr", "Pr", "Zn", "Zn", "Zn", "Cd", "Cd"], "fractional_positions": [[0.071, 0.071, 0.351], [0.358, 0.358, 0.101], [0.642, 0.642, 0.899], [0.929, 0.929, 0.649], [0.000, 0.000, 0.000], [0.374, 0.374, 0.445], [0.626, 0.626, 0.555], [0.266, 0.266, 0.720], [0.734, 0.734, 0.280]]}


# 8
{"formula": "PrZn2Cd6", "functional": "GGA-PBE", "state": "relaxed", "e_form_ev_per_atom": -0.166, "sg": "No. 123", "cell": [[4.410, 0.000, 0.000], [0.000, 4.410, 0.000], [0.000, 0.000, 10.185]], "species": ["Pr", "Zn", "Zn", "Cd", "Cd", "Cd", "Cd", "Cd", "Cd"], "fractional_positions": [[0.000, 0.000, 0.000], [0.500, 0.500, 0.118], [0.500, 0.500, 0.882], [0.000, 0.000, 0.500], [0.000, 0.500, 0.280], [0.000, 0.500, 0.720], [0.500, 0.000, 0.280], [0.500, 0.000, 0.720], [0.500, 0.500, 0.500]]}